! Ga2Ag | the Alexandria database | PBE | relaxed; values from VASP
! electronic total energy = -2.8225 eV/atom
! total moment = 0.00 Bohr magnetons per cell
! SG = No. 227
! ρ = 7.25 g cm⁻³
&SYSTEM
  ibrav = 0, nat = 6, ntyp = 2
/
ATOMIC_SPECIES
Ga 69.72 Ga.upf
Ag 107.87 Ag.upf
CELL_PARAMETERS angstrom
0.000 3.841 3.841
3.841 0.000 3.841
3.841 3.841 0.000
ATOMIC_POSITIONS crystal
Ga 0.000 0.000 0.000
Ga 0.000 0.000 0.500
Ga 0.000 0.500 0.000
Ga 0.500 0.000 0.000
Ag 0.375 0.375 0.375
Ag 0.625 0.625 0.625

---

! Sm2ScS3 | the Alexandria database | PBE | relaxed; values from VASP
! electronic total energy = -6.6453 eV/atom
! total moment = 0.00 Bohr magnetons per cell
! ΔE_f (raw) = -188 kJ per mole of atoms
! SG = No. 164
! energy relative to the lowest polymorph listed for this composition = 0.0 kJ/mol of atoms
! ρ = 5.80 g cm⁻³
&SYSTEM
  ibrav = 0, nat = 6, ntyp = 3
/
ATOMIC_SPECIES
Sm 150.36 Sm.upf
Sc 44.96 Sc.upf
S 32.06 S.upf
CELL_PARAMETERS angstrom
3.899 0.000 0.000
-1.949 3.376 0.000
0.000 0.000 9.607
ATOMIC_POSITIONS crystal
Sm 0.333 0.667 0.175
Sm 0.667 0.333 0.825
Sc 0.000 0.000 0.500
S 0.000 0.000 0.000
S 0.333 0.667 0.646
S 0.667 0.333 0.354

---

! LaSmNi | the Alexandria database | PBE | relaxed; values from VASP
! electronic total energy = -5.2747 eV/atom
! total moment = 0.00 Bohr magnetons per cell
! SG = No. 156
! energy relative to the lowest polymorph listed for this composition = 2.5 kJ/mol of atoms
! ρ = 6.51 g cm⁻³
&SYSTEM
  ibrav = 0, nat = 3, ntyp = 3
/
ATOMIC_SPECIES
La 138.91 La.upf
Sm 150.36 Sm.upf
Ni 58.69 Ni.upf
CELL_PARAMETERS angstrom
3.967 0.000 0.000
-1.983 3.435 0.000
0.000 0.000 6.513
ATOMIC_POSITIONS crystal
La 0.000 0.000 0.000
Sm 0.667 0.333 0.507
Ni 0.333 0.667 0.751

---

- The lowest ρ belongs to which entry?
  Sm2ScS3

---

- What is the electronic total energy in the third record?
  -5.2747 eV/atom